1.
# GGA-PBE Tb3Y3ErTe8, relaxed
# Total magnetic moment = 0.000 μB per cell
# Calculated total energy = -83.64 eV/cell
# Volume = 465.9 Å³/cell
data_Tb3Y3ErTe8
_cell_length_a 8.701
_cell_length_b 8.701
_cell_length_c 8.702
_cell_angle_alpha 120.00
_cell_angle_beta 90.00
_cell_angle_gamma 120.00
_space_group_name_H-M_alt 'P 1'
_space_group_IT_number 1
loop_
_space_group_symop_operation_xyz
'x,y,z'
loop_
_atom_site_label
_atom_site_fract_x
_atom_site_fract_y
_atom_site_fract_z
Tb1 0.000 0.000 0.000
Tb2 0.000 0.500 0.000
Tb3 0.500 0.500 0.000
Y1 0.500 0.000 0.500
Y2 0.500 0.500 0.500
Y3 0.000 0.500 0.500
Er1 0.000 0.000 0.500
Te1 0.250 0.500 0.251
Te2 0.750 0.500 0.749
Te3 0.746 0.493 0.247
Te4 0.254 0.507 0.753
Te5 0.746 0.000 0.247
Te6 0.254 0.000 0.753
Te7 0.254 0.000 0.247
Te8 0.746 0.000 0.753

=====

2.
# GGA-PBE TbY2ErTe5, relaxed
# Total magnetic moment = 0.670 μB per cell
# Calculated total energy = -43.66 eV/cell
# Volume = 356.9 Å³/cell
data_TbY2ErTe5
_cell_length_a 5.571
_cell_length_b 5.571
_cell_length_c 11.499
_cell_angle_alpha 90.00
_cell_angle_beta 90.00
_cell_angle_gamma 90.00
_space_group_name_H-M_alt 'P 1'
_space_group_IT_number 1
loop_
_space_group_symop_operation_xyz
'x,y,z'
loop_
_atom_site_label
_atom_site_fract_x
_atom_site_fract_y
_atom_site_fract_z
Tb1 0.000 0.000 0.500
Y1 0.500 0.500 0.349
Y2 0.500 0.500 0.651
Er1 0.000 0.000 0.000
Te1 0.000 0.500 0.500
Te2 0.500 0.000 0.500
Te3 0.000 0.000 0.756
Te4 0.000 0.000 0.244
Te5 0.500 0.500 0.000

=====

3.
# GGA-PBE Tb2YErTe6, relaxed
# Total magnetic moment = 0.000 μB per cell
# Calculated total energy = -52.81 eV/cell
# Volume = 360.6 Å³/cell
data_Tb2YErTe6
_cell_length_a 7.697
_cell_length_b 7.697
_cell_length_c 8.313
_cell_angle_alpha 62.43
_cell_angle_beta 62.44
_cell_angle_gamma 60.01
_space_group_name_H-M_alt 'P 1'
_space_group_IT_number 1
loop_
_space_group_symop_operation_xyz
'x,y,z'
loop_
_atom_site_label
_atom_site_fract_x
_atom_site_fract_y
_atom_site_fract_z
Tb1 0.510 0.510 0.471
Tb2 0.009 0.009 0.972
Y1 0.824 0.823 0.530
Er1 0.324 0.324 0.028
Te1 0.599 0.228 0.252
Te2 0.228 0.921 0.252
Te3 0.921 0.599 0.252
Te4 0.418 0.727 0.753
Te5 0.727 0.102 0.753
Te6 0.102 0.418 0.753

=====

4.
# GGA-PBE Tb4Er5Th3, relaxed
# Total magnetic moment = 0.001 μB per cell
# Calculated total energy = -59.16 eV/cell
# Volume = 391.6 Å³/cell
data_Tb4Er5Th3
_cell_length_a 5.699
_cell_length_b 9.799
_cell_length_c 9.247
_cell_angle_alpha 114.43
_cell_angle_beta 72.05
_cell_angle_gamma 73.10
_space_group_name_H-M_alt 'P 1'
_space_group_IT_number 1
loop_
_space_group_symop_operation_xyz
'x,y,z'
loop_
_atom_site_label
_atom_site_fract_x
_atom_site_fract_y
_atom_site_fract_z
Tb1 0.062 0.156 0.719
Tb2 0.160 0.798 0.883
Tb3 0.840 0.202 0.117
Tb4 0.938 0.844 0.281
Er1 0.645 0.950 0.760
Er2 0.500 0.500 0.500
Er3 0.266 0.401 0.067
Er4 0.734 0.599 0.933
Er5 0.355 0.050 0.240
Th1 0.446 0.736 0.372
Th2 0.000 0.500 0.500
Th3 0.554 0.264 0.628

=====

5.
# GGA-PBE Tb3Er7Th2, relaxed
# Total magnetic moment = 0.000 μB per cell
# ΔE to the lowest computed polymorph = 0 meV/atom
# Volume = 407.3 Å³/cell
data_Tb3Er7Th2
_cell_length_a 3.605
_cell_length_b 5.553
_cell_length_c 20.433
_cell_angle_alpha 90.00
_cell_angle_beta 95.20
_cell_angle_gamma 90.00
_space_group_name_H-M_alt 'P 1'
_space_group_IT_number 1
loop_
_space_group_symop_operation_xyz
'x,y,z'
loop_
_atom_site_label
_atom_site_fract_x
_atom_site_fract_y
_atom_site_fract_z
Tb1 0.500 0.500 0.000
Tb2 0.826 0.000 0.659
Tb3 0.174 0.000 0.341
Er1 0.286 0.500 0.571
Er2 0.714 0.500 0.429
Er3 0.413 0.000 0.832
Er4 0.000 0.000 0.000
Er5 0.587 0.000 0.168
Er6 0.069 0.500 0.132
Er7 0.931 0.500 0.868
Th1 0.359 0.500 0.726
Th2 0.641 0.500 0.274

=====

6.
# GGA-PBE TbErTh, relaxed
# Total magnetic moment = 0.002 μB per cell
# ΔE to the lowest computed polymorph = 0 meV/atom
# Volume = 190.4 Å³/cell
data_TbErTh
_cell_length_a 3.572
_cell_length_b 3.572
_cell_length_c 17.351
_cell_angle_alpha 90.02
_cell_angle_beta 95.90
_cell_angle_gamma 119.97
_space_group_name_H-M_alt 'P 1'
_space_group_IT_number 1
loop_
_space_group_symop_operation_xyz
'x,y,z'
loop_
_atom_site_label
_atom_site_fract_x
_atom_site_fract_y
_atom_site_fract_z
Tb1 0.611 0.306 0.917
Tb2 0.389 0.694 0.083
Er1 0.833 0.418 0.251
Er2 0.167 0.582 0.749
Th1 0.278 0.140 0.417
Th2 0.722 0.860 0.583